(1)
A plane-wave DFT calculation with meta-GGA SCAN was carried out for a PBEsol-optimized structure of Li2YSc. Values from VASP.

Output
**Crystal system**: tetragonal
**DOS(E_F)**: 0.727 states/eV per atom
**Polymorph energy (0 for the lowest one)**: 0.000 eV per atom
**Formation energy**: 90 meV per atom
**SG**: P4mm, No. 99

```
&SYSTEM
  ibrav = 0, nat = 4, ntyp = 3
/
ATOMIC_SPECIES
Li 6.94 Li.upf
Sc 44.96 Sc.upf
Y 88.91 Y.upf
CELL_PARAMETERS angstrom
3.535 0.000 0.000
0.000 3.535 0.000
0.000 0.000 7.386
ATOMIC_POSITIONS crystal
Li 0.500 0.500 0.228
Li 0.000 0.000 0.038
Sc 0.000 0.000 0.475
Y 0.500 0.500 0.758
```



(2)
A plane-wave DFT calculation with meta-GGA SCAN was carried out for a PBEsol-optimized structure of La2Sc. Values from VASP.

Output
**Crystal system**: orthorhombic
**DOS(E_F)**: 1.629 states/eV per atom
**Polymorph energy (0 for the lowest one)**: 0.046 eV per atom
**Formation energy**: 95 meV per atom
**SG**: Amm2, No. 38

```
&SYSTEM
  ibrav = 0, nat = 6, ntyp = 2
/
ATOMIC_SPECIES
Sc 44.96 Sc.upf
La 138.91 La.upf
CELL_PARAMETERS angstrom
3.532 0.000 0.000
0.000 5.668 0.000
-1.766 0.000 9.115
ATOMIC_POSITIONS crystal
Sc 0.228 0.500 0.455
Sc 0.882 0.500 0.764
La 0.552 0.500 0.105
La 0.671 0.000 0.342
La 0.334 0.000 0.669
La 0.999 0.000 0.998
```



(3)
A plane-wave DFT calculation with meta-GGA SCAN was carried out for a PBEsol-optimized structure of BaFeOs2. Values from VASP.

Output
**Crystal system**: monoclinic
**DOS(E_F)**: 1.056 states/eV per atom
**Polymorph energy (0 for the lowest one)**: 1.134 eV per atom
**Formation energy**: 1443 meV per atom
**SG**: C2/m, No. 12

```
&SYSTEM
  ibrav = 0, nat = 4, ntyp = 3
/
ATOMIC_SPECIES
Os 190.23 Os.upf
Fe 55.84 Fe.upf
Ba 137.33 Ba.upf
CELL_PARAMETERS angstrom
2.856 0.045 0.000
-0.382 4.774 0.000
-1.237 -2.409 5.161
ATOMIC_POSITIONS crystal
Os 0.000 0.000 0.500
Os 0.500 0.500 0.500
Fe 0.000 0.500 0.000
Ba 0.500 0.000 0.000
```



(4)
A plane-wave DFT calculation with meta-GGA SCAN was carried out for a PBEsol-optimized structure of LaSiPt4. Values from VASP.

Output
**Crystal system**: cubic
**Raw formation energy**: -3.69 eV/f.u.
**DOS(E_F)**: 0.701 states/eV per atom
**SG**: F-43m, No. 216

```
&SYSTEM
  ibrav = 0, nat = 6, ntyp = 3
/
ATOMIC_SPECIES
Pt 195.08 Pt.upf
Si 28.09 Si.upf
La 138.91 La.upf
CELL_PARAMETERS angstrom
5.335 0.000 0.000
2.667 4.620 0.000
2.667 1.540 4.356
ATOMIC_POSITIONS crystal
Pt 0.873 0.376 0.376
Pt 0.376 0.376 0.873
Pt 0.376 0.376 0.376
Pt 0.376 0.873 0.376
Si 0.750 0.750 0.750
La 0.000 0.000 0.000
```